Record 1
Here is a relaxed Ca2La2Sb crystal from Alexandria. Energies are from PBE.

Computed properties:
Uncorrected formation energy (kJ/mol of atoms): -17.1
Relative energy among the computed polymorphs (meV per atom): 66

Cell and atoms, written as POSCAR:
```
Ca2La2Sb
1.0
8.234 0.000 0.000
0.000 8.234 0.000
0.000 0.000 5.201
Ca La Sb
4 4 2
Cartesian
1.245 2.872 0.000
2.872 6.988 0.000
5.362 1.245 0.000
6.988 5.362 0.000
1.265 5.382 2.600
2.852 1.265 2.600
5.382 6.968 2.600
6.968 2.852 2.600
0.000 0.000 0.000
4.117 4.117 0.000
```

---

Record 2
Here is a relaxed Rb2InCuBr5 crystal from Alexandria. Energies are from PBE.

Computed properties:
Uncorrected formation energy (kJ/mol of atoms): -98.5

Cell and atoms, written as POSCAR:
```
Rb2InCuBr5
1.0
4.973 0.000 0.000
0.000 4.973 0.000
0.000 0.000 12.261
Rb In Cu Br
2 1 1 5
Cartesian
0.000 0.000 2.616
0.000 0.000 9.644
2.486 2.486 6.130
2.486 2.486 0.000
0.000 0.000 6.130
0.000 2.486 0.000
2.486 0.000 0.000
2.486 2.486 3.150
2.486 2.486 9.111
```

---

Record 3
Here is a relaxed TbTl2F8 crystal from Alexandria. Energies are from PBE.

Computed properties:
Uncorrected formation energy (kJ/mol of atoms): -248.2
Relative energy among the computed polymorphs (meV per atom): 0

Cell and atoms, written as POSCAR:
```
TbTl2F8
1.0
5.120 -3.813 0.000
5.120 3.813 0.000
-1.319 0.000 4.399
Tb Tl F
1 2 8
Cartesian
0.000 0.000 0.000
2.640 0.000 2.856
6.282 0.000 1.544
2.607 2.249 3.369
0.410 0.000 3.047
6.316 2.249 1.030
3.972 0.000 0.922
4.950 0.000 3.477
2.607 -2.249 3.369
8.512 0.000 1.352
6.316 -2.249 1.030
```

---

Record 4
Here is a relaxed Pm2ErAu4 crystal from Alexandria. Energies are from PBE.

Computed properties:
Calculated formation energy (eV/atom): -0.68
Relative energy among the computed polymorphs (meV per atom): 0

Cell and atoms, written as POSCAR:
```
Pm2ErAu4
1.0
-2.620 2.620 6.523
2.620 -2.620 6.523
2.620 2.620 -6.523
Pm Er Au
2 1 4
Cartesian
0.000 0.000 2.896
0.000 0.000 10.150
0.000 0.000 6.523
2.620 0.000 1.495
2.620 0.000 5.028
0.000 2.620 1.495
0.000 2.620 5.028
```

---

Record 5
Here is a relaxed BeAs2W crystal from Alexandria. Energies are from PBE.

Computed properties:
Calculated formation energy (eV/atom): 0.31

Cell and atoms, written as POSCAR:
```
BeAs2W
1.0
3.288 0.000 0.000
0.000 3.288 0.000
0.000 0.000 5.518
Be As W
1 2 1
Cartesian
0.000 0.000 0.000
1.644 1.644 1.372
1.644 1.644 4.146
0.000 0.000 2.759
```

---

Record 6
Here is a relaxed RbInGe crystal from Alexandria. Energies are from PBE.

Computed properties:
Calculated formation energy (eV/atom): 0.05

Cell and atoms, written as POSCAR:
```
RbInGe
1.0
7.648 0.000 0.000
0.000 6.371 0.000
0.000 0.000 4.592
Rb In Ge
2 2 2
Cartesian
1.912 0.000 1.147
5.736 0.000 3.445
0.000 3.186 0.000
3.824 3.186 0.000
1.912 3.186 2.758
5.736 3.186 1.834
```

---

Record 7
Here is a relaxed Tl6SnTe4 crystal from Alexandria. Energies are from PBE.

Computed properties:
Uncorrected formation energy (kJ/mol of atoms): -25.2

Cell and atoms, written as POSCAR:
```
Tl6SnTe4
1.0
11.497 0.000 0.000
-5.748 9.957 0.000
0.000 0.000 7.126
Tl Sn Te
12 2 8
Cartesian
-2.540 5.171 0.000
0.000 3.077 1.988
-3.084 8.418 1.988
2.664 1.538 5.551
2.540 5.171 0.000
0.000 9.571 0.000
5.748 0.386 3.563
3.209 4.785 3.563
3.084 8.418 1.988
8.833 1.538 5.551
5.748 6.880 5.551
8.288 4.785 3.563
0.000 6.638 4.728
5.748 3.319 1.165
0.000 3.608 5.414
-2.624 8.153 5.414
0.000 6.638 1.711
3.125 1.804 1.851
2.624 8.153 5.414
5.748 3.319 5.274
8.372 1.804 1.851
5.748 6.349 1.851
```

---

Record 8
Here is a relaxed CuSe2SN crystal from Alexandria. Energies are from PBE.

Computed properties:
Uncorrected formation energy (kJ/mol of atoms): 107.5
Relative energy among the computed polymorphs (meV per atom): 101

Cell and atoms, written as POSCAR:
```
CuSe2SN
1.0
4.969 0.000 0.000
0.000 4.969 0.000
0.000 0.000 3.534
Cu Se S N
1 2 1 1
Cartesian
0.000 0.000 0.000
0.000 2.484 0.000
2.484 0.000 0.000
2.484 2.484 1.767
0.000 0.000 1.767
```

---

Record 9
Here is a relaxed MnTe2WSe crystal from Alexandria. Energies are from PBE.

Computed properties:
Uncorrected formation energy (kJ/mol of atoms): 65.9

Cell and atoms, written as POSCAR:
```
MnTe2WSe
1.0
5.484 0.000 0.000
0.000 5.484 0.000
0.000 0.000 4.724
Mn Te W Se
1 2 1 1
Cartesian
0.000 0.000 0.000
0.000 2.742 2.362
2.742 0.000 2.362
2.742 2.742 2.362
2.742 2.742 0.000
```

---

| no. | total DFT energy (no corrections) (eV per atom) | calculated volume (Å³ per cell) |
| --- | --- | --- |
| 1 | -3.773 | 352.59 |
| 2 | -2.925 | 303.21 |
| 3 | -4.784 | 171.80 |
| 4 | -4.566 | 179.13 |
| 5 | -6.186 | 59.67 |
| 6 | -2.723 | 223.74 |
| 7 | -3.059 | 815.69 |
| 8 | -3.589 | 87.24 |
| 9 | -5.695 | 142.07 |